Entry 1:
Below is crystalline NbNiTe2I at its relaxed geometry, with properties calculated at the PBE level.

The calculation puts the offset from the most stable computed form at 58 meV per atom. The total energy comes out at -3.9983 eV per atom. Its uncorrected formation energy is 0.739 eV/atom.

The space group is P4/mmm (No. 123) and the conventional cell measures 5.3650, 5.3650 and 5.7089 Å, with angles of 90.00, 90.00 and 90.00 degrees. The distinct sites, in fractional coordinates, are Nb at (0.0000, 0.0000, 0.0000), Ni at (0.5000, 0.5000, 0.5000), Te at (0.0000, 0.5000, 0.0000) and I at (0.0000, 0.0000, 0.5000).



Entry 2:
Below is crystalline Zr2NbNiI at its relaxed geometry, with properties calculated at the PBE level.

The total energy comes out at -5.6454 eV per atom. Its uncorrected formation energy is 1.254 eV/atom.

The space group is P4/mmm (No. 123) and the conventional cell measures 5.1123, 5.1123 and 5.2526 Å, with angles of 90.00, 90.00 and 90.00 degrees. The distinct sites, in fractional coordinates, are Zr at (0.0000, 0.5000, 0.0000), Nb at (0.0000, 0.0000, 0.0000), Ni at (0.5000, 0.5000, 0.5000) and I at (0.0000, 0.0000, 0.5000).



Entry 3:
Below is crystalline NbIO6 at its relaxed geometry, with properties calculated at the PBE level.

The total energy comes out at -6.1473 eV per atom. Its uncorrected formation energy is -0.976 eV/atom.

The space group is C2/m (No. 12) and the conventional cell measures 4.9117, 9.6246 and 4.9113 Å, with angles of 90.00, 103.31 and 90.00 degrees. The distinct sites, in fractional coordinates, are Nb at (0.0000, 0.0000, 0.0000), I at (0.0000, 0.5000, 0.5000), O at (0.2276, 0.3679, 0.7339) and O at (0.2483, 0.0000, 0.7424).



Entry 4:
Below is crystalline Nb2I2O at its relaxed geometry, with properties calculated at the PBE level.

The calculation puts the offset from the most stable computed form at 0 meV per atom. The total energy comes out at -5.7913 eV per atom. Its uncorrected formation energy is -0.152 eV/atom.

The space group is P4/mbm (No. 127) and the conventional cell measures 6.2094, 6.2094 and 5.5221 Å, with angles of 90.00, 90.00 and 90.00 degrees. The distinct sites, in fractional coordinates, are Nb at (0.1976, 0.3024, 0.0000), I at (0.1856, 0.3144, 0.5000) and O at (0.0000, 0.0000, 0.0000).